VASP calculation (PBE-GGA) on a geometry-optimized SrAl2Re structure.

Values from the calculation:
DOS at the Fermi energy = 3.74 states/eV/cell
E above lowest polymorph = 207 kJ/mol of formula units
Formation enthalpy at 0 K = 0.56 eV per atom
Symmetry = R3m
E_tot = -19.377 eV per cell

Unit cell a=9.9299 b=9.9299 c=9.9299 alpha=17.59 beta=17.59 gamma=17.59
Fractional positions:
Sr 0.0000 0.0000 0.0000
Al 0.5098 0.5098 0.5098
Al 0.7661 0.7661 0.7661
Re 0.2434 0.2434 0.2434